KGaSn2F8 | PBE | optimized geometry

## Properties
Formation energy without anion corrections in meV/atom: -2509

Lattice parameters (Å, degrees): 5.253 5.921 7.152 78.33 74.88 86.79
Space group P-1 (No. 2)
Inequivalent atoms, fractional coordinates:
K1 0.000 0.000 0.000 [1 per cell]
Ga1 0.000 0.000 0.500 [1 per cell]
Sn1 0.451 0.442 0.272 [2 per cell]
F1 0.077 0.243 0.608 [2 per cell]
F2 0.256 0.815 0.615 [2 per cell]
F3 0.274 0.124 0.253 [2 per cell]
F4 0.275 0.606 0.003 [2 per cell]